# BaGd2CoO5

A relaxed BaGd2CoO5 crystal (GGA+U, Alexandria via LeMat-Bulk).

Cell and atoms, written as POSCAR:
```
BaGd2CoO5
1.0
6.814 0.006 -0.006
3.192 6.020 0.006
-4.256 -4.253 3.198
Ba Gd Co O
1 2 1 5
Cartesian
-0.532 0.883 1.602
7.040 4.240 0.000
2.966 1.786 0.000
1.279 -2.124 1.596
2.151 -0.197 0.823
3.599 1.969 2.375
2.360 4.026 0.829
3.390 -2.254 2.368
5.003 3.013 0.000
```

Values from the calculation:
For the density, the calculation gives 7.5 g/cm³. As for the total magnetization: 16.993 μB/f.u. The value obtained for the electronic total energy is -0.345 Ha/atom.